The following is a DFT calculation (PBE-GGA) of crystalline K2SrCr at its relaxed geometry.

Output
Energy in eV/f.u.: -10.51
Relative energy among the computed polymorphs in meV per atom: 213
ΔE_f in eV/atom: 0.7479
Density of states at the Fermi level in states/eV/cell: 15.060
Total magnetic moment in Bohr magnetons per cell: 19.90

Cell lengths 9.127, 9.127, 9.127 Å; angles 90.00, 90.00, 90.00 degrees
Atoms (fractional coordinates):
K 0.250 0.250 0.250
K 0.250 0.250 0.750
K 0.250 0.750 0.250
K 0.250 0.750 0.750
K 0.750 0.250 0.250
K 0.750 0.250 0.750
K 0.750 0.750 0.250
K 0.750 0.750 0.750
Sr 0.000 0.000 0.000
Sr 0.000 0.500 0.500
Sr 0.500 0.000 0.500
Sr 0.500 0.500 0.000
Cr 0.000 0.000 0.500
Cr 0.000 0.500 0.000
Cr 0.500 0.000 0.000
Cr 0.500 0.500 0.500